First-principles (PBE-GGA) data for a geometry-optimized ZrTe2PtI structure, as listed in Alexandria.

- Calculated total energy: -4.101 eV/atom
- Density: 7.41 g/cm3
- E_form (uncorrected): 383.9 meV/atom
- SG: P4/mmm (123)

a = 5.3065 Å, b = 5.3065 Å, c = 5.3160 Å
α = 90.00°, β = 90.00°, γ = 90.00°
Last column: nearest neighbours and their distance in Å.
Fractional coordinates of all 5 atoms:
Te1 0.5000 0.0000 0.0000  2 Pt 2.65
Pt1 0.0000 0.0000 0.0000  4 Te 2.65, 2 I 2.66
Zr1 0.5000 0.5000 0.5000  4 I 3.75, 8 Te 3.76
Te2 0.0000 0.5000 0.0000  2 Pt 2.65
I1 0.0000 0.0000 0.5000  2 Pt 2.66

---

First-principles (PBE-GGA) data for a geometry-optimized MgTi2NiH structure, as listed in Alexandria.

- Calculated total energy: -5.410 eV/atom
- Density: 4.63 g/cm3
- SG: P4/mmm (123)

a = 4.1222 Å, b = 4.1222 Å, c = 3.7919 Å
α = 90.00°, β = 90.00°, γ = 90.00°
Last column: nearest neighbours and their distance in Å.
Fractional coordinates of all 5 atoms:
Ti1 0.0000 0.5000 0.0000  2 H 2.06
Mg1 0.5000 0.5000 0.5000  8 Ti 2.80, 4 Ni 2.91
Ni1 0.0000 0.0000 0.5000  2 H 1.90
H1 0.0000 0.0000 0.0000  2 Ni 1.90, 4 Ti 2.06
Ti2 0.5000 0.0000 0.0000  2 H 2.06

---

First-principles (PBE-GGA) data for a geometry-optimized PrNd2Sb structure, as listed in Alexandria.

- Calculated total energy: -5.161 eV/atom
- Density: 7.57 g/cm3
- E_form (uncorrected): -552.0 meV/atom
- SG: P4/mmm (123)

a = 4.9325 Å, b = 4.9509 Å, c = 4.9509 Å
α = 90.00°, β = 90.00°, γ = 90.00°
Last column: nearest neighbours and their distance in Å.
Fractional coordinates of all 4 atoms:
Nd1 0.0000 0.0000 0.5000  4 Pr 3.49, 4 Sb 3.49, 4 Nd 3.50
Sb1 0.5000 0.0000 0.0000  8 Nd 3.49, 4 Pr 3.50
Nd2 0.0000 0.5000 0.0000  4 Sb 3.49, 4 Pr 3.49, 4 Nd 3.50
Pr1 0.5000 0.5000 0.5000  8 Nd 3.49, 4 Sb 3.50

---

First-principles (PBE-GGA) data for a geometry-optimized Mg2Ge2As structure, as listed in Alexandria.

- Calculated total energy: -3.442 eV/atom
- Density: 4.42 g/cm3
- Energy of formation from the pure elements: -0.028 eV/atom
- SG: P4/mbm (127)

a = 7.0943 Å, b = 7.0943 Å, c = 4.0111 Å
α = 90.00°, β = 90.00°, γ = 90.00°
Last column: nearest neighbours and their distance in Å.
Fractional coordinates of all 10 atoms:
Ge1 0.1275 0.3725 0.0000  1 Ge 2.56, 2 As 2.79, 2 Mg 2.82
Mg1 0.3248 0.1752 0.5000  6 Ge 2.82-2.96
Ge2 0.8725 0.6275 0.0000  1 Ge 2.56, 2 As 2.79, 2 Mg 2.82
As1 0.0000 0.0000 0.0000  4 Ge 2.79
Mg2 0.8248 0.3248 0.5000  6 Ge 2.82-2.96
As2 0.5000 0.5000 0.0000  4 Ge 2.79
Mg3 0.6752 0.8248 0.5000  6 Ge 2.82-2.96
Ge3 0.3725 0.8725 0.0000  1 Ge 2.56, 2 As 2.79, 2 Mg 2.82
Mg4 0.1752 0.6752 0.5000  6 Ge 2.82-2.96
Ge4 0.6275 0.1275 0.0000  1 Ge 2.56, 2 As 2.79, 2 Mg 2.82

---

First-principles (PBE-GGA) data for a geometry-optimized MnFeTe2I structure, as listed in Alexandria.

- Calculated total energy: -4.339 eV/atom
- Density: 5.43 g/cm3
- E_form (uncorrected): 754.1 meV/atom
- SG: P4/mmm (123)

a = 5.2694 Å, b = 5.2694 Å, c = 5.4319 Å
α = 90.00°, β = 90.00°, γ = 90.00°
Last column: nearest neighbours and their distance in Å.
Fractional coordinates of all 5 atoms:
Te1 0.0000 0.5000 0.0000  2 Mn 2.63
Fe1 0.5000 0.5000 0.5000  4 I 3.73, 8 Te 3.78
Te2 0.5000 0.0000 0.0000  2 Mn 2.63
I1 0.0000 0.0000 0.5000  2 Mn 2.72
Mn1 0.0000 0.0000 0.0000  4 Te 2.63, 2 I 2.72

---

First-principles (PBE-GGA) data for a geometry-optimized La2Pm3Tm4 structure, as listed in Alexandria.

- Calculated total energy: -4.638 eV/atom
- Density: 7.76 g/cm3
- Energy of formation from the pure elements: 0.028 eV/atom
- SG: C2/m (12)

a = 5.1004 Å, b = 8.0263 Å, c = 8.0629 Å
α = 107.34°, β = 108.44°, γ = 90.00°
Last column: nearest neighbours and their distance in Å.
Fractional coordinates of all 9 atoms:
Pm1 0.0000 0.0000 0.0000  4 La 3.60, 2 Pm 3.62, 6 Tm 3.62-3.63
Tm1 0.4422 0.6610 0.8845  4 Tm 3.55-3.58, 6 Pm 3.55-3.63, 2 La 3.60-3.65
La1 0.6661 0.0005 0.3321  5 Pm 3.60-3.63, 5 Tm 3.60-3.65, 2 La 3.62
La2 0.3339 0.9995 0.6679  5 Pm 3.60-3.63, 5 Tm 3.60-3.65, 2 La 3.62
Tm2 0.5578 0.3390 0.1155  4 Tm 3.55-3.58, 6 Pm 3.55-3.63, 2 La 3.60-3.65
Pm2 0.1110 0.6629 0.2219  7 Tm 3.53-3.63, 2 Pm 3.58-3.62, 3 La 3.62-3.63
Tm3 0.7780 0.6613 0.5561  4 Pm 3.53-3.62, 5 Tm 3.54-3.58, 3 La 3.63-3.64
Tm4 0.2220 0.3387 0.4439  4 Pm 3.53-3.62, 5 Tm 3.54-3.58, 3 La 3.63-3.64
Pm3 0.8890 0.3371 0.7781  7 Tm 3.53-3.63, 2 Pm 3.58-3.62, 3 La 3.62-3.63

---

First-principles (PBE-GGA) data for a geometry-optimized V4Pt structure, as listed in Alexandria.

- Calculated total energy: -8.338 eV/atom
- Density: 8.61 g/cm3
- Energy of formation from the pure elements: 0.165 eV/atom
- SG: Cmce (64)

a = 4.1963 Å, b = 6.8974 Å, c = 5.8804 Å
α = 115.27°, β = 90.00°, γ = 90.00°
Last column: nearest neighbours and their distance in Å.
Fractional coordinates of all 10 atoms:
Pt1 0.5000 0.0000 0.5000  6 V 2.47-2.67
V1 0.7830 0.6535 0.3268  6 V 2.46-2.68, 1 Pt 2.47
V2 0.2170 0.3465 0.6732  6 V 2.46-2.68, 1 Pt 2.47
V3 0.2830 0.3465 0.1732  6 V 2.46-2.68, 1 Pt 2.47
Pt2 0.0000 0.0000 0.0000  6 V 2.47-2.67
V4 0.2500 0.6839 0.0919  6 V 2.46-2.68, 2 Pt 2.67
V5 0.7170 0.6535 0.8268  6 V 2.46-2.68, 1 Pt 2.47
V6 0.7500 0.3161 0.4081  6 V 2.46-2.68, 2 Pt 2.67
V7 0.2500 0.6839 0.5919  6 V 2.46-2.68, 2 Pt 2.67
V8 0.7500 0.3161 0.9081  6 V 2.46-2.68, 2 Pt 2.67

---

First-principles (PBE-GGA) data for a geometry-optimized ZrScRe2 structure, as listed in Alexandria.

- Calculated total energy: -9.981 eV/atom
- Density: 12.22 g/cm3
- Energy of formation from the pure elements: -0.037 eV/atom
- SG: F-43m (216)

a = 4.6060 Å, b = 4.6060 Å, c = 4.6060 Å
α = 60.00°, β = 60.00°, γ = 60.00°
Last column: nearest neighbours and their distance in Å.
Fractional coordinates of all 4 atoms:
Zr1 0.7500 0.7500 0.7500  4 Re 2.82, 4 Sc 2.82
Re1 0.2500 0.2500 0.2500  4 Re 2.82, 4 Sc 2.82
Sc1 0.5000 0.5000 0.5000  4 Zr 2.82, 4 Re 2.82
Re2 0.0000 0.0000 0.0000  4 Re 2.82, 4 Zr 2.82

---

First-principles (PBE-GGA) data for a geometry-optimized Li12Zn7Cu structure, as listed in Alexandria.

- Calculated total energy: -1.908 eV/atom
- Density: 3.05 g/cm3
- Energy of formation from the pure elements: -0.109 eV/atom
- SG: R-3 (148)

a = 7.4318 Å, b = 7.4318 Å, c = 7.4318 Å
α = 108.28°, β = 108.28°, γ = 108.28°
Last column: nearest neighbours and their distance in Å.
Fractional coordinates of all 20 atoms:
Li1 0.8071 0.4844 0.3531  4 Zn 2.61-2.84, 5 Li 2.71-2.91
Li2 0.0415 0.3227 0.8597  3 Zn 2.62-2.93, 2 Li 2.71-2.84, 1 Cu 2.87
Cu1 0.0000 0.0000 0.0000  6 Zn 2.54
Li3 0.6773 0.1403 0.9585  3 Zn 2.62-2.93, 2 Li 2.71-2.84, 1 Cu 2.87
Li4 0.3227 0.8597 0.0415  3 Zn 2.62-2.93, 2 Li 2.71-2.84, 1 Cu 2.87
Zn1 0.2444 0.1012 0.3814  1 Cu 2.54, 5 Li 2.61-2.79, 1 Zn 2.64
Zn2 0.8988 0.6186 0.7556  1 Cu 2.54, 5 Li 2.61-2.79, 1 Zn 2.64
Zn3 0.7556 0.8988 0.6186  1 Cu 2.54, 5 Li 2.61-2.79, 1 Zn 2.64
Li5 0.5156 0.6469 0.1929  4 Zn 2.61-2.84, 5 Li 2.71-2.91
Zn4 0.6186 0.7556 0.8988  1 Cu 2.54, 5 Li 2.61-2.79, 1 Zn 2.64
Zn5 0.3814 0.2444 0.1012  1 Cu 2.54, 5 Li 2.61-2.79, 1 Zn 2.64
Li6 0.1403 0.9585 0.6773  3 Zn 2.62-2.93, 2 Li 2.71-2.84, 1 Cu 2.87
Li7 0.3531 0.8071 0.4844  4 Zn 2.61-2.84, 5 Li 2.71-2.91
Zn6 0.1012 0.3814 0.2444  1 Cu 2.54, 5 Li 2.61-2.79, 1 Zn 2.64
Li8 0.9585 0.6773 0.1403  3 Zn 2.62-2.93, 2 Li 2.71-2.84, 1 Cu 2.87
Zn7 0.5000 0.5000 0.5000  6 Zn 2.64, 6 Li 2.84
Li9 0.1929 0.5156 0.6469  4 Zn 2.61-2.84, 5 Li 2.71-2.91
Li10 0.6469 0.1929 0.5156  4 Zn 2.61-2.84, 5 Li 2.71-2.91
Li11 0.4844 0.3531 0.8071  4 Zn 2.61-2.84, 5 Li 2.71-2.91
Li12 0.8597 0.0415 0.3227  3 Zn 2.62-2.93, 2 Li 2.71-2.84, 1 Cu 2.87

---

First-principles (PBE-GGA) data for a geometry-optimized CeH8Pd4Rh structure, as listed in Alexandria.

- Calculated total energy: -4.565 eV/atom
- Density: 8.22 g/cm3
- SG: R3m (160)

a = 5.7844 Å, b = 5.7844 Å, c = 5.7828 Å
α = 59.99°, β = 59.99°, γ = 60.00°
Last column: nearest neighbours and their distance in Å.
Fractional coordinates of all 14 atoms:
H1 0.7603 0.7603 0.7191  4 Pd 1.93-1.95
Ce1 0.3754 0.3754 0.8738  4 H 2.27
Pd1 0.5076 0.9988 0.4948  6 H 1.83-2.01
Pd2 0.6240 0.6240 0.1281  4 H 1.86-1.93
H2 0.2154 0.2154 0.3537  3 Pd 1.83
H3 0.2311 0.7650 0.2388  3 Pd 1.86-2.01, 1 Rh 1.91
H4 0.7650 0.2311 0.2388  3 Pd 1.86-2.01, 1 Rh 1.91
H5 0.2026 0.8547 0.7401  1 Rh 1.70, 2 Pd 1.90
Pd3 0.9988 0.9988 0.4948  6 H 1.83-2.01
H6 0.2026 0.2026 0.7401  1 Rh 1.70, 2 Pd 1.90
Rh1 0.9986 0.9986 0.0041  3 H 1.70
Pd4 0.9988 0.5076 0.4948  6 H 1.83-2.01
H7 0.7650 0.7650 0.2388  3 Pd 1.86-2.01, 1 Rh 1.91
H8 0.8547 0.2026 0.7401  1 Rh 1.70, 2 Pd 1.90

---

First-principles (PBE-GGA) data for a geometry-optimized YThMg2Hg4 structure, as listed in Alexandria.

- Calculated total energy: -2.664 eV/atom
- Density: 10.08 g/cm3
- Energy of formation from the pure elements: -0.379 eV/atom
- SG: R-3m (166)

a = 5.1184 Å, b = 5.1184 Å, c = 9.0064 Å
α = 73.49°, β = 73.49°, γ = 60.00°
Last column: nearest neighbours and their distance in Å.
Fractional coordinates of all 8 atoms:
Hg1 0.1268 0.1268 0.6197  4 Mg 3.12-3.15, 3 Y 3.13, 1 Th 3.24
Mg1 0.2488 0.2488 0.2535  8 Hg 3.11-3.33
Th1 0.0000 0.0000 0.0000  8 Hg 3.18-3.24
Y1 0.5000 0.5000 0.5000  8 Hg 3.08-3.13
Mg2 0.7512 0.7512 0.7465  8 Hg 3.11-3.33
Hg2 0.6205 0.6205 0.1384  1 Y 3.08, 4 Mg 3.11-3.33, 3 Th 3.18
Hg3 0.3795 0.3795 0.8616  1 Y 3.08, 4 Mg 3.11-3.33, 3 Th 3.18
Hg4 0.8732 0.8732 0.3803  4 Mg 3.12-3.15, 3 Y 3.13, 1 Th 3.24

---

First-principles (PBE-GGA) data for a geometry-optimized TcPCl3 structure, as listed in Alexandria.

- Calculated total energy: -3.517 eV/atom
- Density: 3.31 g/cm3
- E_form (uncorrected): 746.4 meV/atom
- SG: Pm-3m (221)

a = 4.9073 Å, b = 4.9073 Å, c = 4.9073 Å
α = 90.00°, β = 90.00°, γ = 90.00°
Last column: nearest neighbours and their distance in Å.
Fractional coordinates of all 5 atoms:
Cl1 0.5000 0.0000 0.0000  2 P 2.45
Tc1 0.5000 0.5000 0.5000  12 Cl 3.47
Cl2 0.0000 0.5000 0.0000  2 P 2.45
P1 0.0000 0.0000 0.0000  6 Cl 2.45
Cl3 0.0000 0.0000 0.5000  2 P 2.45